Record 1
Crystalline V6Mo12W at its relaxed geometry. Source: the Alexandria database, functional PBE-GGA.

Results
magnetization: 0.00 μB per atom
formation energy from the elements: 285 meV per atom
total energy: -192.2 eV/cell
N(E_F): 20.2 states/eV/f.u.
polymorph energy (0 for the lowest one): 0.000 eV/atom

a = 7.3444 Å, b = 7.3444 Å, c = 7.3444 Å
α = 110.31°, β = 110.31°, γ = 110.31°
With the nearest neighbours (Å) after each atom.
Sites, in units of the cell vectors:
V 0.0544 0.5416 0.3502  7 Mo 2.55-2.85, 1 V 2.77
V 0.3502 0.0544 0.5416  7 Mo 2.55-2.85, 1 V 2.77
V 0.4584 0.6498 0.9456  7 Mo 2.55-2.85, 1 V 2.77
V 0.5416 0.3502 0.0544  7 Mo 2.55-2.85, 1 V 2.77
V 0.6498 0.9456 0.4584  7 Mo 2.55-2.85, 1 V 2.77
V 0.9456 0.4584 0.6498  7 Mo 2.55-2.85, 1 V 2.77
Mo 0.0851 0.1988 0.7349  4 V 2.56-2.85, 2 Mo 2.61-2.78
Mo 0.1988 0.7349 0.0851  4 V 2.56-2.85, 2 Mo 2.61-2.78
Mo 0.2080 0.3115 0.4776  3 V 2.55-2.81, 4 Mo 2.61-2.84, 1 W 2.86
Mo 0.2651 0.9149 0.8012  4 V 2.56-2.85, 2 Mo 2.61-2.78
Mo 0.3115 0.4776 0.2080  3 V 2.55-2.81, 4 Mo 2.61-2.84, 1 W 2.86
Mo 0.4776 0.2080 0.3115  3 V 2.55-2.81, 4 Mo 2.61-2.84, 1 W 2.86
Mo 0.5224 0.7920 0.6885  3 V 2.55-2.81, 4 Mo 2.61-2.84, 1 W 2.86
Mo 0.6885 0.5224 0.7920  3 V 2.55-2.81, 4 Mo 2.61-2.84, 1 W 2.86
Mo 0.7349 0.0851 0.1988  4 V 2.56-2.85, 2 Mo 2.61-2.78
Mo 0.7920 0.6885 0.5224  3 V 2.55-2.81, 4 Mo 2.61-2.84, 1 W 2.86
Mo 0.8012 0.2651 0.9149  4 V 2.56-2.85, 2 Mo 2.61-2.78
Mo 0.9149 0.8012 0.2651  4 V 2.56-2.85, 2 Mo 2.61-2.78
W 0.0000 0.0000 0.0000  12 Mo 2.86-2.92


Record 2
Crystalline V2Mo3W3 at its relaxed geometry. Source: the Alexandria database, functional PBE-GGA.

Results
magnetization: 0.00 μB per atom
formation energy from the elements: 271 meV per atom
total energy: -174.8 eV/cell
N(E_F): 6.4 states/eV/f.u.
polymorph energy (0 for the lowest one): 0.344 eV/atom

a = 5.2492 Å, b = 5.2492 Å, c = 12.3810 Å
α = 90.00°, β = 90.00°, γ = 131.64°
With the nearest neighbours (Å) after each atom.
Sites, in units of the cell vectors:
V 0.1887 0.8113 0.6402  3 W 2.59-2.64, 3 Mo 2.60-2.67, 1 V 2.72
V 0.1887 0.8113 0.8598  3 W 2.59-2.64, 3 Mo 2.60-2.67, 1 V 2.72
V 0.8113 0.1887 0.1402  3 W 2.59-2.64, 3 Mo 2.60-2.67, 1 V 2.72
V 0.8113 0.1887 0.3598  3 W 2.59-2.64, 3 Mo 2.60-2.67, 1 V 2.72
Mo 0.3623 0.6377 0.0285  3 V 2.60-2.67, 3 W 2.67-2.81, 1 Mo 2.73
Mo 0.3623 0.6377 0.4715  3 V 2.60-2.67, 3 W 2.67-2.81, 1 Mo 2.73
Mo 0.4668 0.5332 0.7500  1 W 2.63
Mo 0.5332 0.4668 0.2500  1 W 2.63
Mo 0.6377 0.3623 0.5285  3 V 2.60-2.67, 3 W 2.67-2.81, 1 Mo 2.73
Mo 0.6377 0.3623 0.9715  3 V 2.60-2.67, 3 W 2.67-2.81, 1 Mo 2.73
W 0.0800 0.9200 0.0915  2 W 2.61-2.74, 1 V 2.64, 3 Mo 2.67-2.81
W 0.0800 0.9200 0.4085  2 W 2.61-2.74, 1 V 2.64, 3 Mo 2.67-2.81
W 0.2589 0.7411 0.2500  4 V 2.59, 2 W 2.61, 1 Mo 2.63
W 0.7411 0.2589 0.7500  4 V 2.59, 2 W 2.61, 1 Mo 2.63
W 0.9200 0.0800 0.5915  2 W 2.61-2.74, 1 V 2.64, 3 Mo 2.67-2.81
W 0.9200 0.0800 0.9085  2 W 2.61-2.74, 1 V 2.64, 3 Mo 2.67-2.81


Please write out number 2 again, unchanged.
Crystalline V2Mo3W3 at its relaxed geometry. Source: the Alexandria database, functional PBE-GGA.

Results
magnetization: 0.00 μB per atom
formation energy from the elements: 271 meV per atom
total energy: -174.8 eV/cell
N(E_F): 6.4 states/eV/f.u.
polymorph energy (0 for the lowest one): 0.344 eV/atom

a = 5.2492 Å, b = 5.2492 Å, c = 12.3810 Å
α = 90.00°, β = 90.00°, γ = 131.64°
With the nearest neighbours (Å) after each atom.
Sites, in units of the cell vectors:
V 0.1887 0.8113 0.6402  3 W 2.59-2.64, 3 Mo 2.60-2.67, 1 V 2.72
V 0.1887 0.8113 0.8598  3 W 2.59-2.64, 3 Mo 2.60-2.67, 1 V 2.72
V 0.8113 0.1887 0.1402  3 W 2.59-2.64, 3 Mo 2.60-2.67, 1 V 2.72
V 0.8113 0.1887 0.3598  3 W 2.59-2.64, 3 Mo 2.60-2.67, 1 V 2.72
Mo 0.3623 0.6377 0.0285  3 V 2.60-2.67, 3 W 2.67-2.81, 1 Mo 2.73
Mo 0.3623 0.6377 0.4715  3 V 2.60-2.67, 3 W 2.67-2.81, 1 Mo 2.73
Mo 0.4668 0.5332 0.7500  1 W 2.63
Mo 0.5332 0.4668 0.2500  1 W 2.63
Mo 0.6377 0.3623 0.5285  3 V 2.60-2.67, 3 W 2.67-2.81, 1 Mo 2.73
Mo 0.6377 0.3623 0.9715  3 V 2.60-2.67, 3 W 2.67-2.81, 1 Mo 2.73
W 0.0800 0.9200 0.0915  2 W 2.61-2.74, 1 V 2.64, 3 Mo 2.67-2.81
W 0.0800 0.9200 0.4085  2 W 2.61-2.74, 1 V 2.64, 3 Mo 2.67-2.81
W 0.2589 0.7411 0.2500  4 V 2.59, 2 W 2.61, 1 Mo 2.63
W 0.7411 0.2589 0.7500  4 V 2.59, 2 W 2.61, 1 Mo 2.63
W 0.9200 0.0800 0.5915  2 W 2.61-2.74, 1 V 2.64, 3 Mo 2.67-2.81
W 0.9200 0.0800 0.9085  2 W 2.61-2.74, 1 V 2.64, 3 Mo 2.67-2.81


Which value of formation energy from the elements does entry 1 give?
285 meV per atom